Compound: LaSb2MoI
Source: the Alexandria database
Functional: PBE
Structure: relaxed

Output
* M_tot: 0.45 μB per formula unit
* DOS(E_F): 4.90 states/eV/f.u.
* offset from the most stable computed form: 0.0000 eV/atom
* E: -5.077 eV per atom

Unit cell a=5.206 b=5.206 c=5.708 alpha=90.00 beta=90.00 gamma=90.00
Sites, in units of the cell vectors:
I (0.000, 0.000, 0.500)
Sb (0.000, 0.500, 0.000)
Sb (0.500, 0.000, 0.000)
Mo (0.000, 0.000, 0.000)
La (0.500, 0.500, 0.500)


Compound: Dy2Ga4IrPt3
Source: the Alexandria database
Functional: PBE
Structure: relaxed

Output
* M_tot: 0.00 μB per formula unit
* DOS(E_F): 5.45 states/eV/f.u.
* formation energy: -0.91 eV/atom
* E: -5.735 eV per atom

Unit cell a=4.152 b=4.152 c=10.771 alpha=90.00 beta=90.00 gamma=90.00
Sites, in units of the cell vectors:
Dy (0.500, 0.000, 0.260)
Dy (0.000, 0.500, 0.740)
Ga (0.500, 0.500, 0.000)
Ga (0.000, 0.000, 0.000)
Ga (0.500, 0.000, 0.631)
Ga (0.000, 0.500, 0.369)
Ir (0.500, 0.500, 0.500)
Pt (0.000, 0.000, 0.500)
Pt (0.500, 0.000, 0.861)
Pt (0.000, 0.500, 0.139)


Compound: Co4Cu
Source: the Alexandria database
Functional: PBE
Structure: relaxed

Output
* M_tot: 6.78 μB per formula unit
* DOS(E_F): 4.30 states/eV/f.u.
* offset from the most stable computed form: 0.3610 eV/atom
* formation energy: 0.44 eV/atom
* E: -6.060 eV per atom

Unit cell a=5.900 b=5.900 c=5.900 alpha=146.40 beta=146.40 gamma=48.26
Sites, in units of the cell vectors:
Co (0.750, 0.250, 0.500)
Co (0.398, 0.398, 0.000)
Co (0.602, 0.602, 0.000)
Co (0.250, 0.750, 0.500)
Cu (0.000, 0.000, 0.000)


Compound: CdRuSN2
Source: the Alexandria database
Functional: PBE
Structure: relaxed

Output
* M_tot: 3.09 μB per formula unit
* DOS(E_F): 5.70 states/eV/f.u.
* offset from the most stable computed form: 1.7802 eV/atom
* E: -3.836 eV per atom

Unit cell a=4.049 b=5.251 c=4.049 alpha=90.00 beta=90.00 gamma=90.00
Sites, in units of the cell vectors:
Ru (0.500, 0.500, 0.500)
S (0.000, 0.500, 0.000)
N (0.000, 0.000, 0.500)
N (0.500, 0.000, 0.000)
Cd (0.000, 0.000, 0.000)


Compound: Na4InPb4
Source: the Alexandria database
Functional: PBE
Structure: relaxed

Output
* M_tot: 0.00 μB per formula unit
* DOS(E_F): 2.47 states/eV/f.u.
* formation energy: -0.12 eV/atom
* E: -2.662 eV per atom

Unit cell a=4.801 b=7.774 c=7.774 alpha=84.53 beta=72.01 gamma=72.01
Sites, in units of the cell vectors:
Na (0.166, 0.168, 0.000)
Na (0.834, 0.832, 0.000)
Na (0.834, 0.500, 0.332)
Na (0.166, 0.500, 0.668)
In (0.500, 0.500, 0.000)
Pb (0.500, 0.164, 0.335)
Pb (0.500, 0.836, 0.665)
Pb (0.165, 0.835, 0.336)
Pb (0.835, 0.165, 0.664)


Compound: Ho2Er8Tl
Source: the Alexandria database
Functional: PBE
Structure: relaxed

Output
* M_tot: 0.00 μB per formula unit
* DOS(E_F): 15.21 states/eV/f.u.
* formation energy: -0.03 eV/atom
* E: -4.394 eV per atom

Unit cell a=5.496 b=6.351 c=9.995 alpha=84.85 beta=105.96 gamma=90.00
Sites, in units of the cell vectors:
Ho (0.756, 0.334, 0.512)
Ho (0.244, 0.666, 0.488)
Er (0.421, 0.598, 0.842)
Er (0.662, 0.877, 0.324)
Er (0.846, 0.802, 0.692)
Er (0.955, 0.269, 0.910)
Er (0.154, 0.198, 0.308)
Er (0.338, 0.123, 0.676)
Er (0.579, 0.402, 0.158)
Er (0.045, 0.731, 0.090)
Tl (0.500, 0.000, 0.000)


Compound: Y3ZnGe3
Source: the Alexandria database
Functional: PBE
Structure: relaxed

Output
* M_tot: 0.00 μB per formula unit
* DOS(E_F): 4.39 states/eV/f.u.
* formation energy: -0.77 eV/atom
* E: -5.699 eV per atom

Unit cell a=4.260 b=5.833 c=13.356 alpha=83.10 beta=80.82 gamma=68.58
Sites, in units of the cell vectors:
Y (0.520, 0.337, 0.623)
Y (0.480, 0.663, 0.377)
Y (0.261, 0.252, 0.225)
Y (0.739, 0.748, 0.775)
Y (0.396, 0.286, 0.922)
Y (0.604, 0.714, 0.078)
Zn (0.770, 0.070, 0.390)
Zn (0.230, 0.930, 0.610)
Ge (0.862, 0.728, 0.547)
Ge (0.138, 0.272, 0.453)
Ge (0.118, 0.839, 0.924)
Ge (0.882, 0.161, 0.076)
Ge (0.981, 0.811, 0.227)
Ge (0.019, 0.189, 0.773)


Compound: NaHo4S6
Source: the Alexandria database
Functional: PBE
Structure: relaxed

Output
* M_tot: 0.00 μB per formula unit
* DOS(E_F): 2.32 states/eV/f.u.
* E: -5.970 eV per atom

Unit cell a=3.890 b=6.774 c=20.355 alpha=90.00 beta=90.00 gamma=106.69
Sites, in units of the cell vectors:
Na (0.654, 0.308, 0.250)
Na (0.346, 0.692, 0.750)
Ho (0.868, 0.736, 0.544)
Ho (0.401, 0.802, 0.138)
Ho (0.132, 0.264, 0.456)
Ho (0.599, 0.198, 0.862)
Ho (0.868, 0.736, 0.956)
Ho (0.132, 0.264, 0.044)
Ho (0.599, 0.198, 0.638)
Ho (0.401, 0.802, 0.362)
S (0.500, 0.000, 0.000)
S (0.500, 0.000, 0.500)
S (0.038, 0.076, 0.341)
S (0.962, 0.924, 0.659)
S (0.962, 0.924, 0.841)
S (0.038, 0.076, 0.159)
S (0.774, 0.547, 0.420)
S (0.226, 0.453, 0.580)
S (0.226, 0.453, 0.920)
S (0.774, 0.547, 0.080)
S (0.311, 0.623, 0.250)
S (0.689, 0.377, 0.750)


Question: The highest E belongs to which entry?
Answer: Na4InPb4